# Pu2CoAg (PBE, relaxed)
data_Pu2CoAg
_symmetry_space_group_name_H-M 'R -3 m'
_symmetry_Int_Tables_number 166
_symmetry_space_group_name_Hall '-R 3 2"'
_cell_length_a 2.8765
_cell_length_b 2.8765
_cell_length_c 32.1111
_cell_angle_alpha 90.00
_cell_angle_beta 90.00
_cell_angle_gamma 120.00
loop_
_atom_site_label
_atom_site_type_symbol
_atom_site_fract_x
_atom_site_fract_y
_atom_site_fract_z
Pu1 Pu 0.0000 0.0000 0.0955
Co1 Co 0.0000 0.0000 0.5000
Ag1 Ag 0.0000 0.0000 0.0000
# * calculated total energy: -9.25 eV/atom
# * energy above the lowest structure with this stoichiometry: 373 meV/atom
# * calculated formation energy: 409 meV per atom
# * magnetization: 30.4 Bohr magnetons per cell

# Tm4SnSbTe2 (PBE, relaxed)
data_Tm4SnSbTe2
_symmetry_space_group_name_H-M 'P 1 2/m 1'
_symmetry_Int_Tables_number 10
_cell_length_a 7.508
_cell_length_b 4.339
_cell_length_c 7.519
_cell_angle_alpha 90.00
_cell_angle_beta 109.42
_cell_angle_gamma 90.00
loop_
_symmetry_equiv_pos_as_xyz
'x,y,z'
'-x,-y,-z'
'-x,y,-z'
'x,-y,z'
loop_
_atom_site_label
_atom_site_type_symbol
_atom_site_fract_x
_atom_site_fract_y
_atom_site_fract_z
Tm1 Tm 0.235 0.000 0.242
Tm2 Tm 0.236 0.500 0.749
Sn1 Sn 0.000 0.500 0.000
Sb1 Sb 0.000 0.000 0.500
Te1 Te 0.500 0.000 0.000
Te2 Te 0.500 0.500 0.500
# * calculated total energy: -5.13 eV/atom
# * magnetization: 0.0 Bohr magnetons per cell

# Y2TaO6 (PBE, relaxed)
data_Y2TaO6
_symmetry_space_group_name_H-M 'P 42/m n m'
_symmetry_Int_Tables_number 136
_symmetry_space_group_name_Hall '-P 4n 2n'
_cell_length_a 5.061
_cell_length_b 5.061
_cell_length_c 10.132
_cell_angle_alpha 90.00
_cell_angle_beta 90.00
_cell_angle_gamma 90.00
loop_
_atom_site_label
_atom_site_type_symbol
_atom_site_fract_x
_atom_site_fract_y
_atom_site_fract_z
Y1 Y 0.000 0.000 0.169
Ta1 Ta 0.000 0.000 0.500
O1 O 0.186 0.186 0.352
O2 O 0.218 0.218 0.000
# * calculated total energy: -9.07 eV/atom
# * magnetization: 2.0 Bohr magnetons per cell

# ErPu2ZrN4 (PBE, relaxed)
data_ErPu2ZrN4
_symmetry_space_group_name_H-M 'P 1 2/m 1'
_symmetry_Int_Tables_number 10
_cell_length_a 5.884
_cell_length_b 3.405
_cell_length_c 5.920
_cell_angle_alpha 90.00
_cell_angle_beta 109.75
_cell_angle_gamma 90.00
loop_
_symmetry_equiv_pos_as_xyz
'x,y,z'
'-x,-y,-z'
'-x,y,-z'
'x,-y,z'
loop_
_atom_site_label
_atom_site_type_symbol
_atom_site_fract_x
_atom_site_fract_y
_atom_site_fract_z
Er1 Er 0.000 0.000 0.000
Pu1 Pu 0.000 0.500 0.500
Pu2 Pu 0.500 0.000 0.500
Zr1 Zr 0.500 0.500 0.000
N1 N 0.259 0.000 0.761
N2 N 0.261 0.500 0.243
# * calculated total energy: -10.88 eV/atom
# * magnetization: 0.2 Bohr magnetons per cell

# Cs2LiGa (PBE, relaxed)
data_Cs2LiGa
_symmetry_space_group_name_H-M 'I -4 2 d'
_symmetry_Int_Tables_number 122
_symmetry_space_group_name_Hall 'I -4 2bw'
_cell_length_a 14.065
_cell_length_b 14.065
_cell_length_c 5.335
_cell_angle_alpha 90.00
_cell_angle_beta 90.00
_cell_angle_gamma 90.00
loop_
_atom_site_label
_atom_site_type_symbol
_atom_site_fract_x
_atom_site_fract_y
_atom_site_fract_z
Cs1 Cs 0.053 0.750 0.125
Li1 Li 0.000 0.000 0.500
Ga1 Ga 0.000 0.000 0.000
# * calculated total energy: -1.50 eV/atom
# * energy above the lowest structure with this stoichiometry: 0 meV/atom
# * calculated formation energy: 162 meV per atom
# * magnetization: 0.0 Bohr magnetons per cell

# Sm4TlPd (PBE, relaxed)
data_Sm4TlPd
_symmetry_space_group_name_H-M 'P 1 21/m 1'
_symmetry_Int_Tables_number 11
_cell_length_a 5.871
_cell_length_b 7.125
_cell_length_c 8.706
_cell_angle_alpha 90.00
_cell_angle_beta 104.30
_cell_angle_gamma 90.00
loop_
_symmetry_equiv_pos_as_xyz
'x,y,z'
'-x,-y,-z'
'-x,y+1/2,-z'
'x,-y+1/2,z'
loop_
_atom_site_label
_atom_site_type_symbol
_atom_site_fract_x
_atom_site_fract_y
_atom_site_fract_z
Sm1 Sm 0.150 0.250 0.066
Sm2 Sm 0.240 0.750 0.376
Sm3 Sm 0.310 0.506 0.768
Tl1 Tl 0.206 0.250 0.434
Pd1 Pd 0.335 0.750 0.055
# * calculated total energy: -4.78 eV/atom
# * energy above the lowest structure with this stoichiometry: 0 meV/atom
# * calculated formation energy: -375 meV per atom
# * magnetization: 0.0 Bohr magnetons per cell

Look up the magnetization of the sixth one.
0.0 Bohr magnetons per cell